[1]
First-principles (PBE) data for K3RbAu4 after structural relaxation, as listed in the Alexandria database.

Results
* E: -19.608 eV per cell
* formation energy: -0.28 eV/atom
* SG: No. 166

extended XYZ file:
```
8
Lattice="-1.618 3.796 3.935 1.628 -0.649 5.426 7.686 6.088 1.418" Properties=species:S:1:pos:R:3 pbc="T T T"
K 1.938 2.318 2.692
K 5.758 6.917 8.087
K 3.848 4.618 5.389
Au 2.938 5.068 8.712
Au 6.666 6.466 4.765
Au 4.758 4.168 2.067
Au 1.030 2.770 6.014
Rb 0.000 0.000 0.000
```

[2]
First-principles (PBE) data for KRb2Au after structural relaxation, as listed in the Alexandria database.

Results
* E: -6.419 eV per cell
* formation energy: -0.03 eV/atom
* SG: No. 225

extended XYZ file:
```
4
Lattice="1.728 2.969 5.412 -0.739 6.344 0.552 -4.479 2.376 3.923" Properties=species:S:1:pos:R:3 pbc="T T T"
K 0.000 0.000 0.000
Au -1.745 5.845 4.943
Rb -0.873 2.922 2.472
Rb -2.618 8.767 7.415
```

[3]
First-principles (PBE) data for KRb3Au8 after structural relaxation, as listed in the Alexandria database.

Results
* E: -32.945 eV per cell
* formation energy: -0.23 eV/atom
* SG: No. 160

extended XYZ file:
```
12
Lattice="5.886 0.000 0.000 2.943 5.098 0.000 2.943 1.699 9.812" Properties=species:S:1:pos:R:3 pbc="T T T"
K 8.830 5.098 3.678
Rb 5.886 3.398 8.592
Rb 8.830 5.098 0.000
Rb 5.886 3.398 4.898
Au 7.354 2.551 1.875
Au 7.364 5.944 6.712
Au 4.419 2.551 1.875
Au 10.295 5.944 6.712
Au 2.943 1.699 4.287
Au 8.830 5.098 9.201
Au 5.886 5.093 1.875
Au 8.830 3.406 6.712
```

[4]
First-principles (PBE) data for KRb2Au after structural relaxation, as listed in the Alexandria database.

Results
* E: -6.858 eV per cell
* formation energy: -0.14 eV/atom
* SG: No. 160

extended XYZ file:
```
4
Lattice="4.903 0.000 0.000 2.452 4.247 0.000 2.452 1.416 11.976" Properties=species:S:1:pos:R:3 pbc="T T T"
K 4.903 2.831 5.967
Rb 2.452 1.416 9.980
Rb 2.452 1.416 2.006
Au 4.903 2.831 0.011
```

[5]
First-principles (PBE) data for KRbAu after structural relaxation, as listed in the Alexandria database.

Results
* energy above the most stable polymorph in this dataset: 0.07 eV per formula unit
* E: -5.872 eV per cell
* formation energy: -0.18 eV/atom
* SG: No. 216

extended XYZ file:
```
3
Lattice="-0.183 5.536 1.786 -4.813 3.166 -0.824 -3.320 1.483 4.544" Properties=species:S:1:pos:R:3 pbc="T T T"
K -4.158 5.092 2.753
Au -2.079 2.546 1.376
Rb 0.000 0.000 0.000
```

[6]
First-principles (PBE) data for K3Rb2Au4 after structural relaxation, as listed in the Alexandria database.

Results
* energy above the most stable polymorph in this dataset: 0.61 eV per formula unit
* E: -40.839 eV per cell
* formation energy: -0.23 eV/atom
* SG: No. 64

extended XYZ file:
```
18
Lattice="-3.090 -0.820 7.902 8.641 -1.070 3.268 2.203 9.341 -2.767" Properties=species:S:1:pos:R:3 pbc="T T T"
K 0.000 0.000 0.000
K 2.775 -0.945 5.585
K 6.093 4.210 5.119
K 0.116 2.830 7.236
K 1.661 3.240 3.285
K 7.638 4.620 1.168
Rb 5.174 1.241 2.152
Rb 2.580 6.209 6.251
Rb 1.237 6.977 1.208
Rb 6.517 0.474 7.196
Au 6.330 7.428 5.545
Au -0.121 -0.388 6.809
Au 1.424 0.022 2.858
Au 7.875 7.838 1.594
Au 8.530 2.497 3.595
Au -0.776 4.954 4.808
Au 4.349 4.921 2.211
Au 3.405 2.530 6.192
```

[7]
First-principles (PBE) data for KRb6Au5 after structural relaxation, as listed in the Alexandria database.

Results
* E: -25.627 eV per cell
* formation energy: -0.19 eV/atom
* SG: No. 12

extended XYZ file:
```
12
Lattice="8.404 0.000 4.431 4.202 6.674 2.216 2.622 0.000 10.815" Properties=species:S:1:pos:R:3 pbc="T T T"
K 0.000 0.000 0.000
Au 5.513 1.436 7.623
Au 8.404 3.869 4.431
Au 1.311 0.000 5.407
Au 4.202 2.805 2.216
Au 9.715 5.238 9.839
Rb 4.998 4.101 5.372
Rb 6.028 4.101 9.874
Rb 6.546 0.000 10.757
Rb 4.480 0.000 4.489
Rb 9.201 2.573 7.587
Rb 10.230 2.573 12.090
```

[8]
First-principles (PBE) data for K5Rb2Au after structural relaxation, as listed in the Alexandria database.

Results
* E: -11.159 eV per cell
* formation energy: -0.06 eV/atom
* SG: No. 8

extended XYZ file:
```
8
Lattice="11.000 0.000 0.000 0.000 8.498 -0.578 -5.500 -4.647 6.039" Properties=species:S:1:pos:R:3 pbc="T T T"
K 8.949 1.698 0.564
K 2.051 1.698 0.564
K 2.225 1.714 5.084
K -2.224 1.714 5.084
K 5.500 3.938 2.218
Rb 0.000 6.055 2.515
Rb 5.500 -0.220 3.372
Au 5.500 2.836 5.337
```

[9]
First-principles (PBE) data for K8Rb3Au4 after structural relaxation, as listed in the Alexandria database.

Results
* E: -53.545 eV per cell
* formation energy: -0.13 eV/atom
* SG: No. 225

extended XYZ file:
```
30
Lattice="10.624 0.000 6.134 3.541 10.016 6.134 0.000 0.000 12.267" Properties=species:S:1:pos:R:3 pbc="T T T"
K 7.322 1.167 6.134
K 6.843 8.849 18.401
K 1.651 1.167 9.407
K 1.651 1.167 2.860
K 12.514 8.849 15.127
K 12.514 8.849 21.675
K 3.541 6.514 6.134
K 10.624 3.502 18.401
K 11.657 3.391 12.267
K 2.508 6.625 12.267
K 4.795 3.391 16.229
K 4.795 3.391 8.305
K 9.370 6.625 8.305
K 9.370 6.625 16.229
K 7.082 9.860 12.267
K 7.082 0.156 12.267
Rb 9.912 7.009 12.267
Rb 4.253 3.007 12.267
Rb 8.497 3.007 9.817
Rb 5.668 7.009 14.717
Rb 8.497 3.007 14.717
Rb 5.668 7.009 9.817
Au 0.000 0.000 0.000
Au 7.082 5.008 6.134
Au 0.000 0.000 6.134
Au 5.312 0.000 3.067
Au 1.771 5.008 9.200
Au 5.312 0.000 9.200
Au 1.771 5.008 3.067
Au 7.082 5.008 12.267
```

[10]
First-principles (PBE) data for KRb14Au after structural relaxation, as listed in the Alexandria database.

Results
* E: -18.178 eV per cell
* formation energy: -0.02 eV/atom
* SG: No. 38

extended XYZ file:
```
16
Lattice="-5.506 6.910 4.599 -6.715 -6.208 -3.948 0.181 -7.501 11.487" Properties=species:S:1:pos:R:3 pbc="T T T"
K -6.467 -8.249 2.909
Rb -6.592 -4.872 -3.078
Rb -6.022 1.313 0.953
Rb -3.294 -5.215 4.841
Rb -2.767 -2.016 -1.273
Rb -9.051 -4.884 5.148
Rb -9.853 -1.609 -0.895
Rb -3.638 -3.104 9.173
Rb -3.704 -0.405 5.039
Rb -8.010 -2.853 9.406
Rb -8.075 -0.154 5.273
Rb -6.170 -7.571 7.744
Rb -6.268 -3.546 1.581
Rb -5.494 0.287 11.971
Rb -5.571 3.494 7.061
Au -5.707 -0.007 8.280
```

[11]
First-principles (PBE) data for K10Rb2Au3 after structural relaxation, as listed in the Alexandria database.

Results
* E: -48.988 eV per cell
* formation energy: -0.12 eV/atom
* SG: No. 12

extended XYZ file:
```
30
Lattice="-5.213 4.810 6.206 1.358 -9.538 8.534 14.192 8.545 -1.857" Properties=species:S:1:pos:R:3 pbc="T T T"
K 8.971 0.721 10.638
K 11.637 -1.738 7.465
K 1.365 3.096 2.245
K -1.300 5.555 5.418
K 7.873 3.798 7.267
K 10.493 1.381 4.148
K 2.464 0.019 5.616
K -0.156 2.435 8.734
K 9.753 5.374 11.186
K 0.583 -1.557 1.696
K 6.431 8.255 6.161
K 3.906 -4.438 6.721
K 4.500 1.598 9.698
K 5.837 2.219 3.184
K 12.341 2.916 8.108
K -2.004 0.901 4.774
K -3.264 -1.131 8.961
K -0.591 -3.597 5.779
K 4.489 6.678 2.174
K 7.096 4.273 -0.929
Rb 3.336 4.730 6.293
Rb 7.001 -0.913 6.589
Rb 1.363 -1.930 9.798
Rb 8.974 5.747 3.084
Au 8.064 6.787 8.671
Au 2.272 -2.970 4.211
Au 6.078 0.102 12.184
Au 4.259 3.715 0.698
Au -3.922 3.618 4.668
Au -1.292 1.192 1.537
```

[12]
First-principles (PBE) data for K3Rb7Au after structural relaxation, as listed in the Alexandria database.

Results
* E: -13.803 eV per cell
* formation energy: -0.04 eV/atom
* SG: No. 8

extended XYZ file:
```
11
Lattice="7.920 -0.661 3.747 -2.464 7.556 3.747 -1.751 -2.213 12.381" Properties=species:S:1:pos:R:3 pbc="T T T"
K 5.337 -0.406 10.314
K 2.168 2.740 12.542
K -1.622 5.101 10.314
Rb 1.375 1.738 3.051
Rb 4.886 -0.599 5.672
Rb 5.423 0.124 14.950
Rb -1.706 4.617 5.672
Rb 1.613 2.039 8.111
Rb -1.126 5.306 14.950
Rb 2.409 3.045 17.478
Au 0.014 0.017 0.353
```